[1]
Below is MnFeOs after structural relaxation, with properties calculated at the PBEsol level.

space group	F-43m, No. 216
formation energy from the elements	213	kJ/mol of formula units
volume	13.810	A^3/atom
E_tot	-9.5782	eV per atom
size of the total moment	0.5	Bohr magnetons per cell
distance to the lowest polymorph of the same formula	552	meV per atom

Unit cell a=3.8840 b=3.8840 c=3.8840 alpha=60.00 beta=60.00 gamma=60.00
Fractional positions:
Mn (0.0000, 0.0000, 0.0000)
Fe (0.5000, 0.5000, 0.5000)
Os (0.7500, 0.7500, 0.7500)



[2]
Below is MnFeOs after structural relaxation, with properties calculated at the PBEsol level.

space group	P3m1, No. 156
formation energy from the elements	53	kJ/mol of formula units
volume	11.903	A^3/atom
E_tot	-10.1299	eV per atom
size of the total moment	1.3	Bohr magnetons per cell
distance to the lowest polymorph of the same formula	0	meV per atom

Unit cell a=2.5929 b=2.5929 c=6.1331 alpha=90.00 beta=90.00 gamma=120.00
Fractional positions:
Mn (0.0000, 0.0000, 0.0000)
Fe (0.6667, 0.3333, 0.3145)
Os (0.3333, 0.6667, 0.6626)



[3]
Below is MnFe4Os after structural relaxation, with properties calculated at the PBEsol level.

space group	F-43m, No. 216
formation energy from the elements	59	kJ/mol of formula units
volume	11.274	A^3/atom
E_tot	-9.5361	eV per atom
size of the total moment	4.6	Bohr magnetons per cell

Unit cell a=4.5735 b=4.5735 c=4.5735 alpha=60.00 beta=60.00 gamma=60.00
Fractional positions:
Mn (0.0000, 0.0000, 0.0000)
Fe (0.1250, 0.6250, 0.6250)
Fe (0.6250, 0.1250, 0.6250)
Fe (0.6250, 0.6250, 0.1250)
Fe (0.6250, 0.6250, 0.6250)
Os (0.2500, 0.2500, 0.2500)



[4]
Below is MnFe2Os after structural relaxation, with properties calculated at the PBEsol level.

space group	P4mm, No. 99
formation energy from the elements	47	kJ/mol of formula units
volume	11.799	A^3/atom
E_tot	-9.8549	eV per atom
size of the total moment	6.6	Bohr magnetons per cell

Unit cell a=2.8415 b=2.8415 c=5.8455 alpha=90.00 beta=90.00 gamma=90.00
Fractional positions:
Mn (0.0000, 0.0000, 0.0000)
Fe (0.0000, 0.0000, 0.5323)
Fe (0.5000, 0.5000, 0.7597)
Os (0.5000, 0.5000, 0.2580)



[5]
Below is MnFe3P2 after structural relaxation, with properties calculated at the PBEsol level.

space group	Pm, No. 6
formation energy from the elements	-324	kJ/mol of formula units
volume	10.562	A^3/atom
E_tot	-8.5981	eV per atom
size of the total moment	10.5	Bohr magnetons per cell

Unit cell a=5.6502 b=3.4169 c=9.8475 alpha=90.00 beta=90.30 gamma=90.00
Fractional positions:
Mn (0.0000, 0.0000, 0.0000)
Mn (0.1104, 0.0000, 0.7037)
Mn (0.5019, 0.0000, 0.4990)
Fe (0.1074, 0.0000, 0.2941)
Fe (0.1667, 0.5000, 0.5002)
Fe (0.2748, 0.5000, 0.1247)
Fe (0.2755, 0.5000, 0.8725)
Fe (0.6031, 0.0000, 0.2009)
Fe (0.6092, 0.0000, 0.7981)
Fe (0.6626, 0.5000, 0.0004)
Fe (0.7762, 0.5000, 0.3719)
Fe (0.7839, 0.5000, 0.6245)
P (0.4022, 0.5000, 0.3284)
P (0.4137, 0.5000, 0.6703)
P (0.4149, 0.0000, 0.9990)
P (0.8983, 0.5000, 0.8320)
P (0.9027, 0.5000, 0.1695)
P (0.9151, 0.0000, 0.4926)



[6]
Below is MnFe2P after structural relaxation, with properties calculated at the PBEsol level.

space group	P4/mmm, No. 123
formation energy from the elements	-98	kJ/mol of formula units
volume	10.374	A^3/atom
E_tot	-8.6243	eV per atom
size of the total moment	4.1	Bohr magnetons per cell

Unit cell a=3.6077 b=3.6077 c=3.1883 alpha=90.00 beta=90.00 gamma=90.00
Fractional positions:
Mn (0.0000, 0.0000, 0.0000)
Fe (0.0000, 0.5000, 0.5000)
Fe (0.5000, 0.0000, 0.5000)
P (0.5000, 0.5000, 0.0000)



[7]
Below is MnFeP after structural relaxation, with properties calculated at the PBEsol level.

space group	Pnma, No. 62
formation energy from the elements	-173	kJ/mol of formula units
volume	10.344	A^3/atom
E_tot	-8.7694	eV per atom
size of the total moment	0.0	Bohr magnetons per cell

Unit cell a=5.4950 b=3.5426 c=6.3766 alpha=90.00 beta=90.00 gamma=90.00
Fractional positions:
Mn (0.0228, 0.2500, 0.1680)
Mn (0.4772, 0.7500, 0.6680)
Mn (0.5228, 0.2500, 0.3320)
Mn (0.9772, 0.7500, 0.8320)
Fe (0.1427, 0.2500, 0.5647)
Fe (0.3573, 0.7500, 0.0647)
Fe (0.6427, 0.2500, 0.9353)
Fe (0.8573, 0.7500, 0.4353)
P (0.2461, 0.7500, 0.3831)
P (0.2539, 0.2500, 0.8831)
P (0.7461, 0.7500, 0.1169)
P (0.7539, 0.2500, 0.6169)



[8]
Below is Mn2FeP after structural relaxation, with properties calculated at the PBEsol level.

space group	Pmmm, No. 47
formation energy from the elements	-102	kJ/mol of formula units
volume	10.391	A^3/atom
E_tot	-8.8332	eV per atom
size of the total moment	3.0	Bohr magnetons per cell

Unit cell a=2.8381 b=3.8155 c=3.8383 alpha=90.00 beta=90.00 gamma=90.00
Fractional positions:
Mn (0.0000, 0.0000, 0.0000)
Mn (0.5000, 0.0000, 0.5000)
Fe (0.0000, 0.5000, 0.5000)
P (0.5000, 0.5000, 0.0000)



- Which formula does entry 6 have?
  MnFe2P



- Among the records above, which one has the lowest volume?
  MnFeP



- What is the size of the total moment in the first record?
  0.5 Bohr magnetons per cell